Entry 1:
VASP calculation (PBE-GGA) on a relaxed structure of TaReNi2Cl.

a b c (Å): 4.0859 4.5363 4.0859
angles (deg): 90.00 90.00 90.00
Sites, in units of the cell vectors:
Re1 0.0000 0.5000 0.0000
Ni1 0.0000 0.0000 0.5000
Ni2 0.5000 0.0000 0.0000
Cl1 0.0000 0.0000 0.0000
Ta1 0.5000 0.5000 0.5000

Space-group type ... P4/mmm, No. 123
Uncorrected formation energy ... 1.0411 eV/atom
D(E_F) ... 5.46 states/eV/f.u.
Spin magnetization ... 0.0 μB/cell
Uncorrected energy ... -6.50 eV per atom
Energy relative to the lowest polymorph listed for this composition ... 0.0 meV per atom

Entry 2:
VASP calculation (PBE-GGA) on a relaxed structure of TaReNiCl2.

a b c (Å): 4.1571 5.3408 4.1571
angles (deg): 90.00 90.00 90.00
Each line ends with the local moment (μB).
Sites, in units of the cell vectors:
Ni1 0.0000 0.0000 0.0000  0.01
Cl1 0.5000 0.0000 0.0000  -0.01
Cl2 0.0000 0.0000 0.5000  0.00
Ta1 0.5000 0.5000 0.5000  0.31
Re1 0.0000 0.5000 0.0000  0.19

Space-group type ... P4/mmm, No. 123
Uncorrected formation energy ... 1.2640 eV/atom
D(E_F) ... 6.26 states/eV/f.u.
Spin magnetization ... 0.7 μB/cell
Uncorrected energy ... -5.49 eV per atom

Entry 3:
VASP calculation (PBE-GGA) on a relaxed structure of TaReNi2Cl.

a b c (Å): 4.6277 4.5201 4.6277
angles (deg): 90.00 90.00 90.00
Each line ends with the local moment (μB).
Sites, in units of the cell vectors:
Ni1 0.0000 0.0000 0.5000  -0.10
Ni2 0.5000 0.0000 0.0000  0.00
Cl1 0.0000 0.5000 0.0000  0.06
Re1 0.5000 0.5000 0.5000  2.97
Ta1 0.0000 0.0000 0.0000  -0.20

Space-group type ... P4/mmm, No. 123
Uncorrected formation energy ... 1.6472 eV/atom
D(E_F) ... 4.59 states/eV/f.u.
Spin magnetization ... 3.1 μB/cell
Uncorrected energy ... -5.89 eV per atom
Energy relative to the lowest polymorph listed for this composition ... 606.1 meV per atom